{"formula": "PrSm6", "functional": "GGA-PBE", "state": "optimized geometry", "crystal_system": "cubic", "ef_mev_per_atom": 1207, "space_group": "Im-3m, No. 229", "magmom_total_mub_per_cell": 0.0, "cell": [[7.041, 0.000, 0.000], [-2.347, 6.638, 0.000], [-2.347, -3.319, 5.749]], "species": ["Sm", "Sm", "Sm", "Pr", "Sm", "Sm", "Sm"], "frac_coords": [[0.750, 0.500, 0.250], [0.500, 0.250, 0.750], [0.250, 0.750, 0.500], [0.000, 0.000, 0.000], [0.500, 0.750, 0.250], [0.750, 0.250, 0.500], [0.250, 0.500, 0.750]]}

{"formula": "SmInHg3", "functional": "GGA-PBE", "state": "optimized geometry", "crystal_system": "monoclinic", "ef_mev_per_atom": -308, "space_group": "P2_1/m, No. 11", "magmom_total_mub_per_cell": 0.0, "relative_energy_mev_per_atom": 0, "cell": [[4.589, -0.643, 1.402], [0.604, 4.729, 0.191], [-0.899, -0.334, 11.121]], "species": ["Hg", "In", "Hg", "Hg", "Sm", "Hg", "Hg", "In", "Hg", "Sm"], "frac_coords": [[0.758, 0.344, 0.204], [0.548, 0.344, 0.622], [0.955, 0.344, 0.808], [0.157, 0.344, 0.401], [0.352, 0.344, 0.012], [0.456, 0.844, 0.807], [0.254, 0.844, 0.213], [0.863, 0.844, 0.993], [0.653, 0.844, 0.411], [0.059, 0.844, 0.602]]}

{"formula": "YErTe2", "functional": "GGA-PBE", "state": "optimized geometry", "crystal_system": "tetragonal", "formation_energy_uncorrected_ev_per_atom": -1.142, "space_group": "P4/mmm, No. 123", "magmom_total_mub_per_cell": 1.2, "relative_energy_mev_per_atom": 151, "cell": [[-3.261, -0.256, -1.884], [-0.679, -4.963, 1.850], [-2.603, 1.937, 4.242]], "species": ["Y", "Te", "Er", "Te"], "frac_coords": [[0.500, 0.000, 0.000], [0.000, 0.000, 0.500], [0.500, 0.500, 0.500], [0.000, 0.500, 0.000]]}

{"formula": "Ba2Ga4Ni", "functional": "GGA-PBE", "state": "optimized geometry", "crystal_system": "tetragonal", "ef_mev_per_atom": -308, "space_group": "I4/mmm, No. 139", "magmom_total_mub_per_cell": 0.0, "cell": [[4.705, 0.000, 0.000], [0.000, 4.705, 0.000], [2.353, 2.353, 8.674]], "species": ["Ga", "Ba", "Ni", "Ba", "Ga", "Ga", "Ga"], "frac_coords": [[0.135, 0.135, 0.729], [0.658, 0.658, 0.684], [0.000, 0.000, 0.000], [0.342, 0.342, 0.316], [0.500, 0.000, 0.000], [0.865, 0.865, 0.271], [0.000, 0.500, 0.000]]}